# 1
# PmNd2Y5 (PBE, optimized geometry)
data_PmNd2Y5
_space_group_name_H-M_alt 'C 1 2/c 1'
_space_group_IT_number 15
_cell_length_a 16.394
_cell_length_b 10.001
_cell_length_c 6.591
_cell_angle_alpha 90.00
_cell_angle_beta 98.35
_cell_angle_gamma 90.00
loop_
_space_group_symop_operation_xyz
'x,y,z'
'-x,-y,-z'
'-x,y,-z+1/2'
'x,-y,z+1/2'
'x+1/2,y+1/2,z'
'-x+1/2,-y+1/2,-z'
'-x+1/2,y+1/2,-z+1/2'
'x+1/2,-y+1/2,z+1/2'
loop_
_atom_site_label
_atom_site_type_symbol
_atom_site_fract_x
_atom_site_fract_y
_atom_site_fract_z
_atom_site_occupancy
Pm1 Pm 0.250 0.250 0.000 1
Nd1 Nd 0.079 0.246 0.119 1
Y1 Y 0.000 0.440 0.750 1
Y2 Y 0.099 0.089 0.645 1
Y3 Y 0.198 0.411 0.525 1
# D(E_F) in states/eV per cell: 51.09
# DFT formation energy in eV per atom: 0.151

---

# 2
# Pm2Nd12Y (PBE, optimized geometry)
data_Pm2Nd12Y
_space_group_name_H-M_alt 'C m m e'
_space_group_IT_number 67
_space_group_name_Hall '-C 2a 2'
_cell_length_a 7.241
_cell_length_b 11.702
_cell_length_c 25.200
_cell_angle_alpha 90.00
_cell_angle_beta 90.00
_cell_angle_gamma 90.00
loop_
_atom_site_label
_atom_site_type_symbol
_atom_site_fract_x
_atom_site_fract_y
_atom_site_fract_z
_atom_site_occupancy
Pm1 Pm 0.000 0.250 0.227 1
Pm2 Pm 0.000 0.250 0.767 1
Nd1 Nd 0.000 0.002 0.575 1
Nd2 Nd 0.000 0.024 0.060 1
Nd3 Nd 0.229 0.250 0.917 1
Nd4 Nd 0.248 0.250 0.371 1
Nd5 Nd 0.250 0.000 0.174 1
Nd6 Nd 0.250 0.000 0.301 1
Y1 Y 0.000 0.250 0.499 1
# D(E_F) in states/eV per cell: 89.14
# DFT formation energy in eV per atom: 0.150

---

# 3
# Pm5Nd3Y (PBE, optimized geometry)
data_Pm5Nd3Y
_space_group_name_H-M_alt 'C 1 2/m 1'
_space_group_IT_number 12
_cell_length_a 15.489
_cell_length_b 11.724
_cell_length_c 9.974
_cell_angle_alpha 90.00
_cell_angle_beta 129.72
_cell_angle_gamma 90.00
loop_
_space_group_symop_operation_xyz
'x,y,z'
'-x,-y,-z'
'-x,y,-z'
'x,-y,z'
'x+1/2,y+1/2,z'
'-x+1/2,-y+1/2,-z'
'-x+1/2,y+1/2,-z'
'x+1/2,-y+1/2,z'
loop_
_atom_site_label
_atom_site_type_symbol
_atom_site_fract_x
_atom_site_fract_y
_atom_site_fract_z
_atom_site_occupancy
Pm1 Pm 0.000 0.247 0.000 1
Pm2 Pm 0.151 0.248 0.740 1
Pm3 Pm 0.226 0.000 0.227 1
Pm4 Pm 0.226 0.500 0.048 1
Nd1 Nd 0.000 0.000 0.500 1
Nd2 Nd 0.000 0.500 0.000 1
Nd3 Nd 0.006 0.000 0.818 1
Nd4 Nd 0.014 0.500 0.351 1
Y1 Y 0.247 0.500 0.407 1
# D(E_F) in states/eV per cell: 56.03
# DFT formation energy in eV per atom: 0.480

---

# 4
# Pm3Nd7Y2 (PBE, optimized geometry)
data_Pm3Nd7Y2
_space_group_name_H-M_alt 'P 1 2/m 1'
_space_group_IT_number 10
_cell_length_a 6.538
_cell_length_b 3.596
_cell_length_c 17.870
_cell_angle_alpha 90.00
_cell_angle_beta 96.03
_cell_angle_gamma 90.00
loop_
_space_group_symop_operation_xyz
'x,y,z'
'-x,-y,-z'
'-x,y,-z'
'x,-y,z'
loop_
_atom_site_label
_atom_site_type_symbol
_atom_site_fract_x
_atom_site_fract_y
_atom_site_fract_z
_atom_site_occupancy
Pm1 Pm 0.000 0.000 0.000 1
Pm2 Pm 0.047 0.500 0.661 1
Nd1 Nd 0.227 0.500 0.168 1
Nd2 Nd 0.243 0.000 0.504 1
Nd3 Nd 0.276 0.000 0.830 1
Nd4 Nd 0.500 0.500 0.000 1
Y1 Y 0.444 0.000 0.330 1
# D(E_F) in states/eV per cell: 18.45
# DFT formation energy in eV per atom: 0.071